# Fe3OF5

An optimized crystal structure of Fe3OF5 (PBE with a Hubbard U, Alexandria).

extended XYZ file:
```
18
Lattice="3.439 4.662 -0.029 -3.439 4.662 -0.029 0.000 2.482 6.860" Properties=species:S:1:pos:R:3 pbc="T T T"
Fe 0.000 8.244 5.650
Fe 0.000 0.000 0.000
Fe 0.000 7.252 2.318
Fe 0.000 1.241 3.430
Fe 0.000 3.562 1.153
Fe 0.000 4.554 4.485
O 0.000 2.515 4.899
O 0.000 9.291 1.903
F -1.386 4.662 -0.029
F 2.090 7.086 2.349
F 0.000 5.073 2.445
F 0.000 7.292 0.131
F 0.000 6.733 4.357
F 0.000 4.514 6.672
F -2.090 7.086 2.349
F 1.386 4.662 -0.029
F -2.090 4.720 4.454
F 2.090 4.720 4.454
```

## Properties
DFT total energy (Ry per atom): -0.4188
Crystal system: monoclinic